[1]
Material: LaMoPt
Method: DFT, GGA-PBE
State: optimized geometry

Unit cell a=2.9710 b=2.9710 c=7.7936 alpha=90.00 beta=90.00 gamma=120.00
Closest atoms and distances in Å follow each position.
Space group P3m1 (No. 156)
Inequivalent atoms, fractional coordinates:
La (0.0000, 0.0000, 0.0000) x1  6 La 2.97, 3 Pt 3.29
Mo (0.6667, 0.3333, 0.3702) x1  3 Pt 2.72, 6 Mo 2.97
Pt (0.3333, 0.6667, 0.6404) x1  3 Mo 2.72, 6 Pt 2.97

Energy above the lowest structure with this stoichiometry: 494 meV per atom
Formation energy: 0.311 eV/atom
Magnetic moment: 0.0 μB/f.u.

[2]
Material: LaMo2Pt
Method: DFT, GGA-PBE
State: optimized geometry

Unit cell a=5.7519 b=9.3634 c=2.7830 alpha=90.00 beta=90.00 gamma=90.00
Closest atoms and distances in Å follow each position.
Space group Cmmm (No. 65)
Inequivalent atoms, fractional coordinates:
La (0.0000, 0.0000, 0.0000) x2  2 La 2.78, 2 Pt 2.88, 8 Mo 3.08
Mo (0.2500, 0.2500, 0.5000) x4  4 Mo 2.78-2.88, 4 La 3.08, 4 Pt 3.08
Pt (0.0000, 0.5000, 0.0000) x2  2 Pt 2.78, 2 La 2.88, 8 Mo 3.08

Energy above the lowest structure with this stoichiometry: 467 meV per atom
Formation energy: 0.438 eV/atom
Magnetic moment: 0.0 μB/f.u.

[3]
Material: LaMo2Pt
Method: DFT, GGA-PBE
State: optimized geometry

Unit cell a=4.0427 b=4.0427 c=20.9116 alpha=90.00 beta=90.00 gamma=90.00
Closest atoms and distances in Å follow each position.
Space group I-42d (No. 122)
Inequivalent atoms, fractional coordinates:
La (0.0000, 0.0000, 0.0000) x4  4 Pt 2.86, 4 Mo 3.09
Mo (0.1769, 0.2500, 0.6250) x8  2 Mo 2.48
Pt (0.0000, 0.0000, 0.5000) x4  4 La 2.86, 4 Mo 2.89

Energy above the lowest structure with this stoichiometry: 329 meV per atom
Formation energy: 0.300 eV/atom
Magnetic moment: 0.0 μB/f.u.

[4]
Material: LaMo2Pt
Method: DFT, GGA-PBE
State: optimized geometry

Unit cell a=2.8244 b=4.0708 c=6.9021 alpha=90.00 beta=90.00 gamma=90.00
Closest atoms and distances in Å follow each position.
Space group Pmmm (No. 47)
Inequivalent atoms, fractional coordinates:
La (0.0000, 0.0000, 0.0000) x1  2 La 2.82
Mo (0.5000, 0.5000, 0.3158) x2  3 Mo 2.54-2.82, 4 Pt 2.78
Pt (0.0000, 0.0000, 0.5000) x1  8 Mo 2.78, 2 Pt 2.82

Energy above the lowest structure with this stoichiometry: 330 meV per atom
Formation energy: 0.302 eV/atom
Magnetic moment: 0.0 μB/f.u.

[5]
Material: LaMo2Pt
Method: DFT, GGA-PBE
State: optimized geometry

Unit cell a=4.5178 b=4.5178 c=3.6526 alpha=90.00 beta=90.00 gamma=90.00
Closest atoms and distances in Å follow each position.
Space group P4/mmm (No. 123)
Inequivalent atoms, fractional coordinates:
La (0.0000, 0.0000, 0.0000) x1  8 Mo 2.90, 4 Pt 3.19
Mo (0.0000, 0.5000, 0.5000) x2  4 La 2.90, 4 Pt 2.90, 4 Mo 3.19
Pt (0.5000, 0.5000, 0.0000) x1  8 Mo 2.90, 4 La 3.19

Energy above the lowest structure with this stoichiometry: 490 meV per atom
Formation energy: 0.462 eV/atom
Magnetic moment: 0.0 μB/f.u.

[6]
Material: LaMo2Pt
Method: DFT, GGA-PBE
State: optimized geometry

Unit cell a=5.6399 b=9.9779 c=2.8322 alpha=90.00 beta=109.50 gamma=90.00
Closest atoms and distances in Å follow each position.
Space group C2/m (No. 12)
Inequivalent atoms, fractional coordinates:
La (0.0000, 0.0000, 0.0000) x2  2 Pt 2.82, 2 La 2.83, 4 Mo 2.98
Mo (0.2500, 0.2500, 0.5000) x4  4 Mo 2.82-2.83, 2 La 2.98, 2 Pt 2.98
Pt (0.0000, 0.5000, 0.0000) x2  2 La 2.82, 2 Pt 2.83, 4 Mo 2.98

Energy above the lowest structure with this stoichiometry: 345 meV per atom
Formation energy: 0.317 eV/atom
Magnetic moment: 0.0 μB/f.u.

[7]
Material: LaMoPt
Method: DFT, GGA-PBE
State: optimized geometry

Unit cell a=2.9996 b=3.9097 c=11.0657 alpha=90.00 beta=90.00 gamma=90.00
Closest atoms and distances in Å follow each position.
Space group Imm2 (No. 44)
Inequivalent atoms, fractional coordinates:
La (0.0000, 0.0000, 0.0000) x2  2 La 3.00, 1 Mo 3.22, 5 Pt 3.30-3.33
Mo (0.0000, 0.0000, 0.7087) x2  4 Pt 2.65
Pt (0.0000, 0.0000, 0.2980) x2  4 Mo 2.65

Energy above the lowest structure with this stoichiometry: 137 meV per atom
Formation energy: -0.046 eV/atom
Magnetic moment: 0.0 μB/f.u.

[8]
Material: LaMo2Pt
Method: DFT, GGA-PBE
State: optimized geometry

Unit cell a=2.8170 b=2.8170 c=9.4693 alpha=90.00 beta=90.00 gamma=90.00
Closest atoms and distances in Å follow each position.
Space group P4/mmm (No. 123)
Inequivalent atoms, fractional coordinates:
La (0.0000, 0.0000, 0.0000) x1  4 La 2.82
Mo (0.5000, 0.5000, 0.2884) x2  4 Mo 2.82, 4 Pt 2.83
Pt (0.0000, 0.0000, 0.5000) x1  4 Pt 2.82, 8 Mo 2.83

Energy above the lowest structure with this stoichiometry: 326 meV per atom
Formation energy: 0.297 eV/atom
Magnetic moment: 0.0 μB/f.u.

[9]
Material: LaMo2Pt
Method: DFT, GGA-PBE
State: optimized geometry

Unit cell a=6.6241 b=6.6241 c=6.6241 alpha=90.00 beta=90.00 gamma=90.00
Closest atoms and distances in Å follow each position.
Space group Fm-3m (No. 225)
Inequivalent atoms, fractional coordinates:
La (0.0000, 0.0000, 0.0000) x4  8 Mo 2.87
Mo (0.2500, 0.2500, 0.2500) x8  4 La 2.87, 4 Pt 2.87
Pt (0.0000, 0.0000, 0.5000) x4  8 Mo 2.87

Energy above the lowest structure with this stoichiometry: 419 meV per atom
Formation energy: 0.390 eV/atom
Magnetic moment: 0.0 μB/f.u.

[10]
Material: LaMo2Pt
Method: DFT, GGA-PBE
State: optimized geometry

Unit cell a=2.9037 b=2.9037 c=30.8945 alpha=90.00 beta=90.00 gamma=120.00
Closest atoms and distances in Å follow each position.
Space group R-3m (No. 166, hexagonal axes)
Inequivalent atoms, fractional coordinates:
La (0.0000, 0.0000, 0.0000) x3  6 La 2.90
Mo (0.0000, 0.0000, 0.2389) x6  3 Pt 2.79, 6 Mo 2.90
Pt (0.0000, 0.0000, 0.5000) x3  6 Mo 2.79, 6 Pt 2.90

Energy above the lowest structure with this stoichiometry: 567 meV per atom
Formation energy: 0.539 eV/atom
Magnetic moment: 0.0 μB/f.u.

[11]
Material: La4MoPt
Method: DFT, GGA-PBE
State: optimized geometry

Unit cell a=8.7296 b=8.7296 c=8.7296 alpha=90.00 beta=90.00 gamma=90.00
Closest atoms and distances in Å follow each position.
Space group F-43m (No. 216)
Inequivalent atoms, fractional coordinates:
La (0.1251, 0.1251, 0.1251) x16  6 La 3.08-3.09
Mo (0.2500, 0.2500, 0.7500) x4  12 La 3.62, 4 Pt 3.78
Pt (0.0000, 0.0000, 0.5000) x4  12 La 3.62, 4 Mo 3.78

Formation energy: 0.770 eV/atom
Magnetic moment: 1.5 μB/f.u.

[12]
Material: LaMo2Pt
Method: DFT, GGA-PBE
State: optimized geometry

Unit cell a=4.7596 b=4.7596 c=6.7494 alpha=90.00 beta=90.00 gamma=90.00
Closest atoms and distances in Å follow each position.
Space group I-4m2 (No. 119)
Inequivalent atoms, fractional coordinates:
La (0.0000, 0.0000, 0.0000) x2  4 Mo 2.92, 4 Pt 2.92
Mo (0.0000, 0.0000, 0.5000) x2  4 Mo 2.92, 4 Pt 2.92
Mo (0.0000, 0.5000, 0.7500) x2  4 La 2.92, 4 Mo 2.92
Pt (0.0000, 0.5000, 0.2500) x2  4 La 2.92, 4 Mo 2.92

Energy above the lowest structure with this stoichiometry: 221 meV per atom
Formation energy: 0.192 eV/atom
Magnetic moment: 0.0 μB/f.u.